Record 1
Computed, not measured: Li2CaRh after structural relaxation at the PBEsol level of DFT.

Computed properties:
The calculation puts the offset from the most stable computed form at 9 meV/atom. Its magnetization is 0.0000 μB/atom.

Cell lengths 3.301, 3.301, 7.066 Å; angles 90.00, 90.00, 90.00 degrees
Sites, in units of the cell vectors:
Ca 0.500 0.500 0.686
Rh 0.000 0.000 0.450
Li 0.000 0.000 0.078
Li 0.500 0.500 0.286


Record 2
Computed, not measured: Hf2Al3Co after structural relaxation at the PBEsol level of DFT.

Computed properties:
Its calculated total energy is -87.92 eV for the cell shown. Its magnetization is 0.1775 μB/atom.

Cell lengths 5.182, 5.182, 8.132 Å; angles 90.00, 90.00, 120.00 degrees
Site moments in Bohr magnetons follow the coordinates.
Sites, in units of the cell vectors:
Hf 0.333 0.667 0.061  0.52
Hf 0.667 0.333 0.561  0.52
Hf 0.333 0.667 0.439  0.17
Hf 0.667 0.333 0.939  0.17
Co 0.000 0.000 0.500  0.17
Co 0.000 0.000 0.000  0.17
Al 0.834 0.668 0.250  0.00
Al 0.166 0.834 0.750  0.00
Al 0.668 0.834 0.750  0.00
Al 0.332 0.166 0.250  0.00
Al 0.834 0.166 0.250  0.00
Al 0.166 0.332 0.750  0.00